(1)
A relaxed Be2TlOs crystal, computed with PBE-GGA.

Its formation energy is 58 kJ per mole of atoms. Its offset from the most stable computed form is 0.408 eV/atom. Its density of states at the Fermi level is 1.98 states/eV/f.u. The magnetic moment is 0.0 μB/f.u. The calculation puts the total energy at -4.664 eV per atom. Its space group is No. 65.

Cell: 2.875 2.875 8.096 Å, 90.00 90.00 115.22°
Positions (direct):
Be 0.000 0.000 0.205
Be 0.000 0.000 0.795
Tl 0.500 0.500 0.500
Os 0.500 0.500 0.000

=====

(2)
A relaxed BeTlOs3 crystal, computed with PBE-GGA.

Its formation energy is 99 kJ per mole of atoms. Its offset from the most stable computed form is 0.000 eV/atom. Its density of states at the Fermi level is 4.75 states/eV/f.u. The magnetic moment is 0.8 μB/f.u. The calculation puts the total energy at -6.928 eV per atom. Its space group is No. 221.

Cell: 4.235 4.235 4.235 Å, 90.00 90.00 90.00°
Positions (direct):
Be 0.000 0.000 0.000
Tl 0.500 0.500 0.500
Os 0.000 0.000 0.500
Os 0.000 0.500 0.000
Os 0.500 0.000 0.000

=====

(3)
A relaxed Be2TlOs crystal, computed with PBE-GGA.

Its formation energy is 58 kJ per mole of atoms. Its offset from the most stable computed form is 0.410 eV/atom. Its density of states at the Fermi level is 1.07 states/eV/f.u. The magnetic moment is 0.0 μB/f.u. The calculation puts the total energy at -4.662 eV per atom. Its space group is No. 71.

Cell: 4.847 4.847 4.847 Å, 141.06 126.43 68.18°
Positions (direct):
Be 0.226 0.226 0.000
Be 0.774 0.774 0.000
Tl 0.500 0.000 0.500
Os 0.000 0.500 0.500